(1)
BaNp2TaO8 | PBE | relaxed

Cell and atoms, written as POSCAR:
```
BaNp2TaO8
1.0
5.1324 0.0000 0.0000
0.0000 7.0982 0.0000
-0.2138 0.0000 5.1335
Ba Np Ta O
1 2 1 8
Direct
0.0000 0.0000 0.0000
0.5000 0.2595 0.5000
0.5000 0.7405 0.5000
0.0000 0.5000 0.0000
0.2014 0.3033 0.2000
0.2014 0.6967 0.2000
0.2823 0.5000 0.7167
0.3378 0.0000 0.6592
0.6622 0.0000 0.3408
0.7177 0.5000 0.2833
0.7986 0.3033 0.8000
0.7986 0.6967 0.8000
```

Summary:
ΔE_f (raw) in kcal/mol of atoms: -65.6
E_tot in eV per cell: -113.46
Size of the total moment in μB/cell: 5.00

***

(2)
TaMn2Bi | PBE | relaxed

Cell and atoms, written as POSCAR:
```
TaMn2Bi
1.0
-2.0740 2.0740 9.1462
2.0740 -2.0740 9.1462
2.0740 2.0740 -9.1462
Ta Mn Bi
2 4 2
Direct
0.0000 0.0000 0.0000
0.7500 0.2500 0.5000
0.1037 0.6250 0.9787
0.3750 0.3537 0.4787
0.6463 0.1250 0.0213
0.8750 0.8963 0.5213
0.2500 0.7500 0.5000
0.5000 0.5000 0.0000
```

Summary:
E_tot in eV per cell: -61.35
Size of the total moment in μB/cell: 10.45
ΔH_f (0 K) in eV/atom: 0.850

***

(3)
Sm2Co18Si4C3 | PBE | relaxed

Cell and atoms, written as POSCAR:
```
Sm2Co18Si4C3
1.0
5.8787 -4.9412 0.0000
5.8787 4.9412 0.0000
-3.4603 0.0000 5.3926
Sm Co Si C
2 18 4 3
Direct
0.2464 0.2464 0.3702
0.7536 0.7536 0.6298
0.0757 0.8335 0.1430
0.0775 0.6756 0.4305
0.1665 0.9243 0.8570
0.1692 0.5849 0.8232
0.2484 0.2484 0.8835
0.3244 0.9225 0.5695
0.3270 0.5799 0.2575
0.4151 0.8308 0.1768
0.4201 0.6730 0.7425
0.5799 0.3270 0.2575
0.5849 0.1692 0.8232
0.6730 0.4201 0.7425
0.6756 0.0775 0.4305
0.7516 0.7516 0.1165
0.8308 0.4151 0.1768
0.8335 0.0757 0.1430
0.9225 0.3244 0.5695
0.9243 0.1665 0.8570
0.0000 0.0000 0.5000
0.0000 0.5000 0.0000
0.5000 0.0000 0.0000
0.5000 0.5000 0.0000
0.0000 0.5000 0.5000
0.5000 0.0000 0.5000
0.5000 0.5000 0.5000
```

Summary:
ΔE_f (raw) in kcal/mol of atoms: -6.5
E_tot in eV per cell: -194.33
Size of the total moment in μB/cell: 12.81

***

(4)
NaNbTe2I | PBE | relaxed

Cell and atoms, written as POSCAR:
```
NaNbTe2I
1.0
5.4327 0.0000 0.0000
0.0000 5.4327 0.0000
0.0000 0.0000 6.0713
Na Nb Te I
1 1 2 1
Direct
0.0000 0.0000 0.0000
0.5000 0.5000 0.5000
0.0000 0.5000 0.5000
0.5000 0.0000 0.5000
0.5000 0.5000 0.0000
```

Summary:
ΔE_f (raw) in kcal/mol of atoms: -6.1
E_tot in eV per cell: -20.54
Size of the total moment in μB/cell: 1.01

***

(5)
DyTlV | PBE | relaxed

Cell and atoms, written as POSCAR:
```
DyTlV
1.0
3.3242 0.0000 0.0000
0.0000 3.3242 0.0000
0.0000 0.0000 12.6964
Dy Tl V
2 2 2
Direct
0.2500 0.2500 0.1982
0.7500 0.7500 0.8018
0.2500 0.2500 0.5988
0.7500 0.7500 0.4012
0.2500 0.2500 0.9606
0.7500 0.7500 0.0394
```

Summary:
E_tot in eV per cell: -31.86
Size of the total moment in μB/cell: 0.00
ΔH_f (0 K) in eV/atom: 0.052

***

(6)
CoSbMo2 | PBE | relaxed

Cell and atoms, written as POSCAR:
```
CoSbMo2
1.0
-1.7058 2.2015 4.1495
1.7058 -2.2015 4.1495
1.7058 2.2015 -4.1495
Co Sb Mo
1 1 2
Direct
0.0000 0.0000 0.0000
0.7734 0.2734 0.5000
0.2524 0.7524 0.5000
0.5066 0.5066 0.0000
```

Summary:
ΔE_f (raw) in kcal/mol of atoms: 5.0
E_tot in eV per cell: -32.02
Size of the total moment in μB/cell: 0.19